1.
The following is a GGA-PBE calculation of TaNbI after structural relaxation, from the Alexandria database.

Unit cell a=11.954 b=11.954 c=3.508 alpha=90.33 beta=90.33 gamma=16.87
Atoms (fractional coordinates):
Ta  0.156  0.156  0.282
Ta  0.844  0.844  0.718
Nb  0.284  0.284  0.248
Nb  0.716  0.716  0.752
I  0.417  0.417  0.251
I  0.583  0.583  0.749

Formation energy (no corrections) ... 0.37 eV per formula unit
Final energy ... -46.20 eV for the cell shown
Crystal system ... monoclinic
Symmetry ... C2/m

2.
The following is a GGA-PBE calculation of Sc2CdRh after structural relaxation, from the Alexandria database.

Unit cell a=4.717 b=4.717 c=4.717 alpha=60.00 beta=60.00 gamma=60.00
Atoms (fractional coordinates):
Sc  0.000  0.000  0.000
Sc  0.250  0.250  0.250
Cd  0.750  0.750  0.750
Rh  0.500  0.500  0.500

Final energy ... -22.54 eV for the cell shown
Crystal system ... cubic
ΔH_f (0 K) ... -0.403 eV per atom
Symmetry ... F-43m

3.
The following is a GGA-PBE calculation of AlRh5 after structural relaxation, from the Alexandria database.

Unit cell a=4.373 b=7.100 c=7.100 alpha=22.64 beta=90.00 gamma=90.00
Atoms (fractional coordinates):
Al  0.000  0.000  0.000
Rh  0.000  0.337  0.337
Rh  0.000  0.662  0.662
Rh  0.500  0.218  0.218
Rh  0.500  0.550  0.550
Rh  0.500  0.885  0.885

Final energy ... -42.00 eV for the cell shown
Crystal system ... orthorhombic
ΔH_f (0 K) ... -0.251 eV per atom
Symmetry ... Amm2

4.
The following is a GGA-PBE calculation of Nd6ZnS5 after structural relaxation, from the Alexandria database.

Unit cell a=7.116 b=7.116 c=7.093 alpha=99.59 beta=99.59 gamma=119.93
Atoms (fractional coordinates):
Nd  0.076  0.416  0.747
Nd  0.245  0.245  0.252
Nd  0.416  0.076  0.747
Nd  0.584  0.924  0.253
Nd  0.755  0.755  0.748
Nd  0.924  0.584  0.253
Zn  0.500  0.500  0.000
S  0.000  0.000  0.500
S  0.166  0.834  0.000
S  0.335  0.665  0.500
S  0.665  0.335  0.500
S  0.834  0.166  0.000

Formation energy (no corrections) ... -20.76 eV per formula unit
Final energy ... -71.28 eV for the cell shown
Crystal system ... monoclinic
Symmetry ... C2/m

5.
The following is a GGA-PBE calculation of ZnCuSN2 after structural relaxation, from the Alexandria database.

Unit cell a=3.639 b=3.639 c=5.644 alpha=90.00 beta=90.00 gamma=90.00
Atoms (fractional coordinates):
Zn  0.000  0.000  0.000
Cu  0.500  0.500  0.500
S  0.500  0.500  0.000
N  0.000  0.500  0.500
N  0.500  0.000  0.500

Formation energy (no corrections) ... 6.60 eV per formula unit
Final energy ... -19.55 eV for the cell shown
Crystal system ... tetragonal
Symmetry ... P4/mmm

6.
The following is a GGA-PBE calculation of Rb2MgMnCl6 after structural relaxation, from the Alexandria database.

Unit cell a=6.950 b=6.950 c=6.950 alpha=115.34 beta=115.34 gamma=98.27
Atoms (fractional coordinates):
Rb  0.250  0.750  0.500
Rb  0.750  0.250  0.500
Mg  0.000  0.000  0.000
Mn  0.500  0.500  0.000
Cl  0.248  0.248  0.495
Cl  0.248  0.752  0.000
Cl  0.251  0.251  0.000
Cl  0.749  0.749  0.000
Cl  0.752  0.248  0.000
Cl  0.752  0.752  0.505

Formation energy (no corrections) ... -16.21 eV per formula unit
Final energy ... -39.99 eV for the cell shown
Crystal system ... tetragonal
Symmetry ... I4/mmm

7.
The following is a GGA-PBE calculation of Lu2Te3 after structural relaxation, from the Alexandria database.

Unit cell a=7.573 b=7.573 c=7.573 alpha=147.39 beta=133.01 gamma=58.36
Atoms (fractional coordinates):
Lu  0.163  0.163  0.000
Lu  0.837  0.837  0.000
Te  0.000  0.500  0.500
Te  0.325  0.825  0.500
Te  0.675  0.175  0.500

Formation energy (no corrections) ... -6.57 eV per formula unit
Final energy ... -25.04 eV for the cell shown
Crystal system ... orthorhombic
Symmetry ... Immm

8.
The following is a GGA-PBE calculation of Dy2ThNi after structural relaxation, from the Alexandria database.

Unit cell a=6.853 b=9.715 c=6.374 alpha=90.00 beta=90.00 gamma=90.00
Atoms (fractional coordinates):
Dy  0.180  0.067  0.169
Dy  0.180  0.433  0.169
Dy  0.320  0.567  0.669
Dy  0.320  0.933  0.669
Dy  0.680  0.067  0.331
Dy  0.680  0.433  0.331
Dy  0.820  0.567  0.831
Dy  0.820  0.933  0.831
Th  0.039  0.250  0.653
Th  0.461  0.750  0.153
Th  0.539  0.250  0.847
Th  0.961  0.750  0.347
Ni  0.121  0.750  0.945
Ni  0.379  0.250  0.445
Ni  0.621  0.750  0.555
Ni  0.879  0.250  0.055

Final energy ... -93.22 eV for the cell shown
Crystal system ... orthorhombic
ΔH_f (0 K) ... -0.225 eV per atom
Symmetry ... Pnma

9.
The following is a GGA-PBE calculation of Nd5Ga2Pb after structural relaxation, from the Alexandria database.

Unit cell a=9.245 b=9.245 c=9.245 alpha=127.99 beta=127.99 gamma=76.64
Atoms (fractional coordinates):
Nd  0.000  0.000  0.000
Nd  0.023  0.523  0.834
Nd  0.189  0.023  0.500
Nd  0.311  0.811  0.834
Nd  0.477  0.311  0.500
Nd  0.500  0.500  0.000
Nd  0.523  0.689  0.500
Nd  0.689  0.189  0.166
Nd  0.811  0.977  0.500
Nd  0.977  0.477  0.166
Ga  0.124  0.376  0.500
Ga  0.376  0.876  0.253
Ga  0.624  0.124  0.747
Ga  0.876  0.624  0.500
Pb  0.250  0.250  0.000
Pb  0.750  0.750  0.000

Final energy ... -74.97 eV for the cell shown
Crystal system ... tetragonal
ΔH_f (0 K) ... -0.485 eV per atom
Symmetry ... I4/mcm

10.
The following is a GGA-PBE calculation of K2RbCa after structural relaxation, from the Alexandria database.

Unit cell a=4.363 b=4.363 c=13.809 alpha=90.00 beta=90.00 gamma=90.00
Atoms (fractional coordinates):
K  0.000  0.000  0.221
K  0.000  0.000  0.779
Rb  0.500  0.500  0.500
Ca  0.500  0.500  0.000

Final energy ... -4.67 eV for the cell shown
Crystal system ... tetragonal
ΔH_f (0 K) ... 0.124 eV per atom
Symmetry ... P4/mmm

11.
The following is a GGA-PBE calculation of Zr2BrF after structural relaxation, from the Alexandria database.

Unit cell a=6.624 b=6.624 c=6.624 alpha=127.33 beta=127.33 gamma=77.71
Atoms (fractional coordinates):
Zr  0.058  0.625  0.933
Zr  0.375  0.308  0.433
Zr  0.692  0.125  0.067
Zr  0.875  0.942  0.567
Br  0.250  0.750  0.500
Br  0.500  0.500  0.000
F  0.000  0.000  0.000
F  0.750  0.250  0.500

Formation energy (no corrections) ... -2.29 eV per formula unit
Final energy ... -45.86 eV for the cell shown
Crystal system ... tetragonal
Symmetry ... I-42d

12.
The following is a GGA-PBE calculation of Na3Tb2DyS6 after structural relaxation, from the Alexandria database.

Unit cell a=6.925 b=6.925 c=7.071 alpha=99.39 beta=99.39 gamma=120.00
Atoms (fractional coordinates):
Na  0.000  0.000  0.000
Na  0.333  0.667  0.000
Na  0.667  0.333  0.000
Tb  0.167  0.833  0.500
Tb  0.833  0.167  0.500
Dy  0.500  0.500  0.500
S  0.092  0.424  0.273
S  0.244  0.244  0.727
S  0.424  0.092  0.273
S  0.576  0.908  0.727
S  0.756  0.756  0.273
S  0.908  0.576  0.727

Formation energy (no corrections) ... -22.17 eV per formula unit
Final energy ... -64.75 eV for the cell shown
Crystal system ... monoclinic
Symmetry ... C2/m

For each record above, in turn, the calculated volume values are 145.4, 74.2, 84.9, 293.5, 74.8, 251.2, 169.8, 424.4, 476.7, 262.8, 178.2, 277.6 Å³ per cell.